No. 1
Here is an optimized crystal structure of Ca2YZn2 from Alexandria. Energies are from PBE.

Properties
ΔE_f: 0.070 eV/atom
Space group: I4/mmm, No. 139
Density of states at the Fermi level: 5.65 states/eV/cell
Relative energy among the computed polymorphs: 23.2 kJ per mole of atoms

abc: 3.678 3.678 11.290
angles: 80.62 80.62 90.00
Last column: magnetic moment on the atom in μB.
Fractional positions:
Zn1 0.250 0.750 0.500  0.00
Ca1 0.627 0.627 0.746  0.02
Ca2 0.373 0.373 0.254  0.02
Zn2 0.750 0.250 0.500  0.00
Y1 0.000 0.000 0.000  0.25

---

No. 2
Here is an optimized crystal structure of CaBrO2 from Alexandria. Energies are from PBE.

Properties
Space group: P-1, No. 2
Uncorrected formation energy: -1.43 eV/atom
Density of states at the Fermi level: 0.00 states/eV/cell
Relative energy among the computed polymorphs: 2.8 kJ per mole of atoms

abc: 4.170 5.882 8.126
angles: 114.89 63.01 93.38
Fractional positions:
O1 0.269 0.210 0.774
O2 0.380 0.884 0.817
Ca1 0.894 0.225 0.115
Br1 0.097 0.426 0.452
Br2 0.698 0.813 0.258
Ca2 0.900 0.014 0.595
O3 0.414 0.355 0.893
O4 0.526 0.029 0.936

---

No. 3
Here is an optimized crystal structure of AcPPd from Alexandria. Energies are from PBE.

Properties
ΔE_f: -1.092 eV/atom
Space group: C2/m, No. 12
Density of states at the Fermi level: 1.24 states/eV/cell
Relative energy among the computed polymorphs: 13.4 kJ per mole of atoms

abc: 4.432 5.941 6.182
angles: 89.23 89.98 68.10
Fractional positions:
Pd1 0.922 0.156 0.299
Ac1 0.360 0.280 0.748
Pd2 0.078 0.844 0.701
P1 0.350 0.300 0.248
P2 0.650 0.700 0.752
Ac2 0.640 0.720 0.252

---

No. 4
Here is an optimized crystal structure of Na2BAs2 from Alexandria. Energies are from PBE.

Properties
ΔE_f: -0.024 eV/atom
Space group: C2/m, No. 12
Density of states at the Fermi level: 6.11 states/eV/cell

abc: 5.804 7.021 7.981
angles: 117.51 90.00 114.41
Fractional positions:
Na1 0.673 0.346 0.613
As1 0.461 0.923 0.152
B1 0.379 0.757 0.853
As2 0.789 0.578 0.354
B2 0.621 0.243 0.147
As3 0.539 0.077 0.848
Na2 0.017 0.035 0.753
As4 0.211 0.422 0.646
Na3 0.327 0.654 0.387
Na4 0.983 0.965 0.247

---

No. 5
Here is an optimized crystal structure of GaIr2Br from Alexandria. Energies are from PBE.

Properties
Space group: I-42d, No. 122
Uncorrected formation energy: 0.56 eV/atom
Density of states at the Fermi level: 4.37 states/eV/cell
Relative energy among the computed polymorphs: 0.0 kJ per mole of atoms

abc: 4.204 4.204 8.624
angles: 75.89 75.89 90.00
Fractional positions:
Ga1 0.500 0.500 0.000
Ga2 0.250 0.750 0.500
Br1 0.750 0.250 0.500
Ir1 0.375 0.364 0.750
Br2 0.000 0.000 0.000
Ir2 0.636 0.125 0.250
Ir3 0.875 0.886 0.750
Ir4 0.114 0.625 0.250

---

No. 6
Here is an optimized crystal structure of TbSmAgPb from Alexandria. Energies are from PBE.

Properties
ΔE_f: -0.409 eV/atom
Space group: F-43m, No. 216
Density of states at the Fermi level: 3.24 states/eV/cell

abc: 5.344 5.344 5.344
angles: 60.00 60.00 60.00
Last column: magnetic moment on the atom in μB.
Fractional positions:
Tb1 0.000 0.000 0.000  0.24
Ag1 0.250 0.250 0.250  0.02
Sm1 0.500 0.500 0.500  0.19
Pb1 0.750 0.750 0.750  -0.02